Entry from Alexandria: a relaxed structure of Cs2NaSn3O8 (GGA-PBE).

For the energy relative to the elements, uncorrected, the calculation gives -2032 kJ/mol of formula units. The magnetic moment comes out at 1.08 μB/f.u. The value obtained for the density of states at the Fermi level is 21.887 states/eV per cell.

The space group is R3m (No. 160, hexagonal axes) and the conventional cell measures 6.5353, 6.5353 and 21.9148 Å, with angles of 90.00, 90.00 and 120.00 degrees. The inequivalent atoms are Cs at (0.0000, 0.0000, 0.0000), Cs at (0.0000, 0.0000, 0.3543), Na at (0.0000, 0.0000, 0.8391), Sn at (0.9997, 0.4998, 0.8550), O at (0.0000, 0.0000, 0.1369), O at (0.0000, 0.0000, 0.5731), O at (0.0410, 0.5205, 0.1366) and O at (0.1776, 0.3551, 0.9017).